VASP calculation (PBE) on crystalline Ba2NbCoBr at its relaxed geometry.

## Properties
The calculation puts the magnetic moment at 5.17 μB/f.u. Its total DFT energy (no corrections) is -19.41 eV/cell. Its formation energy without anion corrections is 0.656 eV/atom. The space group is No. 123.

a b c (Å): 6.1865 6.1865 4.4456
angles (deg): 90.00 90.00 90.00
Closest atoms and distances in Å follow each position.
Sites, in units of the cell vectors:
1 Ba 0.0000 0.5000 0.0000  2 Co 3.09
2 Ba 0.5000 0.0000 0.0000  2 Co 3.09
3 Nb 0.0000 0.0000 0.5000  8 Ba 3.81
4 Co 0.5000 0.5000 0.0000  2 Br 2.22
5 Br 0.5000 0.5000 0.5000  2 Co 2.22